## w
First-principles (GGA-PBE) data for crystalline AgSO4 at its relaxed geometry, as listed in Alexandria.

a b c (Å): 5.997 5.997 4.939
angles (deg): 127.38 127.38 90.00
Fractional coordinates of all 6 atoms:
1 O 0.246 0.456 0.169
2 Ag 0.500 0.500 0.000
3 O 0.923 0.713 0.169
4 S 0.250 0.750 0.500
5 O 0.544 0.077 0.831
6 O 0.287 0.754 0.831

The space group is I-4, No. 82.

## x
First-principles (GGA-PBE) data for crystalline AgSO4 at its relaxed geometry, as listed in Alexandria.

a b c (Å): 4.940 4.847 8.441
angles (deg): 83.37 73.01 69.48
Fractional coordinates of all 12 atoms:
1 S 0.856 0.588 0.756
2 O 0.951 0.723 0.224
3 Ag 0.500 0.500 0.500
4 O 0.437 0.394 0.271
5 O 0.234 0.237 0.092
6 O 0.049 0.277 0.776
7 S 0.144 0.412 0.244
8 O 0.026 0.718 0.609
9 Ag 0.000 0.000 0.000
10 O 0.766 0.763 0.908
11 O 0.974 0.282 0.391
12 O 0.563 0.606 0.729

The space group is P-1, No. 2.

Result of the stability comparison: w is the least stable of them.

## w
First-principles (GGA-PBE) data for crystalline AgSO4 at its relaxed geometry, as listed in Alexandria.

a b c (Å): 9.735 10.309 10.309
angles (deg): 88.90 121.65 121.65
Fractional coordinates of all 48 atoms:
1 O 0.015 0.712 0.445
2 O 0.827 0.622 0.144
3 O 0.480 0.304 0.894
4 S 0.000 0.241 0.697
5 O 0.673 0.856 0.378
6 Ag 0.000 0.000 0.000
7 Ag 0.000 0.500 0.500
8 O 0.491 0.183 0.390
9 O 0.509 0.817 0.610
10 O 0.020 0.106 0.696
11 O 0.485 0.555 0.288
12 Ag 0.500 0.500 0.000
13 O 0.821 0.112 0.185
14 Ag 0.000 0.000 0.500
15 S 0.000 0.759 0.303
16 Ag 0.500 0.000 0.500
17 O 0.823 0.710 0.643
18 O 0.177 0.290 0.357
19 O 0.497 0.058 0.201
20 O 0.180 0.812 0.310
21 O 0.985 0.288 0.555
22 O 0.520 0.696 0.106
23 S 0.500 0.697 0.241
24 Ag 0.500 0.500 0.500
25 S 0.997 0.248 0.194
26 O 0.003 0.799 0.942
27 Ag 0.500 0.000 0.000
28 S 0.003 0.752 0.806
29 O 0.677 0.357 0.290
30 O 0.515 0.445 0.712
31 O 0.179 0.888 0.815
32 O 0.980 0.894 0.304
33 O 0.991 0.390 0.183
34 O 0.503 0.942 0.799
35 O 0.009 0.610 0.817
36 O 0.320 0.690 0.188
37 O 0.327 0.144 0.622
38 S 0.500 0.303 0.759
39 O 0.173 0.378 0.856
40 O 0.997 0.201 0.058
41 O 0.679 0.815 0.888
42 O 0.321 0.185 0.112
43 Ag 0.000 0.500 0.000
44 O 0.323 0.643 0.710
45 O 0.820 0.188 0.690
46 S 0.497 0.194 0.248
47 S 0.503 0.806 0.752
48 O 0.680 0.310 0.812

The space group is C2/c, No. 15.

## x
First-principles (GGA-PBE) data for crystalline AgSO4 at its relaxed geometry, as listed in Alexandria.

a b c (Å): 4.932 5.836 6.415
angles (deg): 117.05 111.97 90.00
Fractional coordinates of all 12 atoms:
1 O 0.707 0.026 0.373
2 O 0.293 0.974 0.627
3 O 0.738 0.208 0.769
4 O 0.762 0.439 0.231
5 O 0.207 0.347 0.373
6 Ag 0.250 0.261 0.000
7 O 0.238 0.561 0.769
8 S 0.000 0.500 0.500
9 Ag 0.750 0.739 0.000
10 O 0.262 0.792 0.231
11 O 0.793 0.653 0.627
12 S 0.500 0.000 0.500

The space group is C2/c, No. 15.

Result of the stability comparison: x is the least stable of them.

## w
First-principles (GGA-PBE) data for crystalline Ag2SO5 at its relaxed geometry, as listed in Alexandria.

a b c (Å): 5.023 6.551 6.551
angles (deg): 64.96 56.61 56.61
Fractional coordinates of all 8 atoms:
1 Ag 0.689 0.555 0.075
2 O 0.821 0.914 0.914
3 O 0.972 0.228 0.874
4 Ag 0.689 0.075 0.555
5 O 0.426 0.812 0.812
6 O 0.972 0.874 0.228
7 S 0.036 0.963 0.963
8 O 0.840 0.357 0.357

The space group is Cm, No. 8.

## x
First-principles (GGA-PBE) data for crystalline Ag2SO5 at its relaxed geometry, as listed in Alexandria.

a b c (Å): 5.907 5.907 5.561
angles (deg): 122.08 122.08 90.00
Fractional coordinates of all 8 atoms:
1 Ag 0.089 0.589 0.178
2 Ag 0.589 0.089 0.178
3 O 0.807 0.807 0.613
4 O 0.882 0.261 0.143
5 O 0.882 0.882 0.143
6 O 0.261 0.882 0.143
7 S 0.006 0.006 0.011
8 O 0.261 0.261 0.143

The space group is I4mm, No. 107.

Result of the stability comparison: x is the least stable of them.

## w
First-principles (GGA-PBE) data for crystalline AgS3O at its relaxed geometry, as listed in Alexandria.

a b c (Å): 4.299 4.299 4.299
angles (deg): 90.00 90.00 90.00
Fractional coordinates of all 5 atoms:
1 S 0.000 0.500 0.000
2 O 0.000 0.000 0.000
3 S 0.500 0.000 0.000
4 Ag 0.500 0.500 0.500
5 S 0.000 0.000 0.500

The space group is Pm-3m, No. 221.

## x
First-principles (GGA-PBE) data for crystalline AgS3O at its relaxed geometry, as listed in Alexandria.

a b c (Å): 4.781 4.781 4.781
angles (deg): 90.00 90.00 90.00
Fractional coordinates of all 5 atoms:
1 S 0.500 0.000 0.000
2 S 0.000 0.500 0.000
3 Ag 0.000 0.000 0.000
4 O 0.500 0.500 0.500
5 S 0.000 0.000 0.500

The space group is Pm-3m, No. 221.

Result of the stability comparison: x is the least stable of them.

## w
First-principles (GGA-PBE) data for crystalline Ag3SbO at its relaxed geometry, as listed in Alexandria.

a b c (Å): 5.242 5.242 5.242
angles (deg): 90.00 90.00 90.00
Fractional coordinates of all 5 atoms:
1 Ag 0.500 0.000 0.000
2 Sb 0.000 0.000 0.000
3 O 0.500 0.500 0.500
4 Ag 0.000 0.500 0.000
5 Ag 0.000 0.000 0.500

The space group is Pm-3m, No. 221.

## x
First-principles (GGA-PBE) data for crystalline Ag3SbO at its relaxed geometry, as listed in Alexandria.

a b c (Å): 4.555 4.555 4.555
angles (deg): 90.00 90.00 90.00
Fractional coordinates of all 5 atoms:
1 Ag 0.000 0.000 0.500
2 Ag 0.500 0.000 0.000
3 Sb 0.500 0.500 0.500
4 Ag 0.000 0.500 0.000
5 O 0.000 0.000 0.000

The space group is Pm-3m, No. 221.

Result of the stability comparison: w is the least stable of them.

## w
First-principles (GGA-PBE) data for crystalline AgSb2O6 at its relaxed geometry, as listed in Alexandria.

a b c (Å): 4.828 4.828 9.780
angles (deg): 90.00 90.00 90.00
Fractional coordinates of all 18 atoms:
1 O 0.206 0.794 0.683
2 O 0.794 0.206 0.317
3 O 0.180 0.820 0.000
4 Sb 0.000 0.000 0.169
5 O 0.206 0.794 0.317
6 O 0.706 0.706 0.183
7 O 0.706 0.706 0.817
8 O 0.294 0.294 0.817
9 O 0.680 0.680 0.500
10 O 0.794 0.206 0.683
11 Ag 0.000 0.000 0.500
12 O 0.320 0.320 0.500
13 Sb 0.500 0.500 0.331
14 O 0.294 0.294 0.183
15 Ag 0.500 0.500 0.000
16 Sb 0.500 0.500 0.669
17 Sb 0.000 0.000 0.831
18 O 0.820 0.180 0.000

The space group is P4_2/mnm, No. 136.

## x
First-principles (GGA-PBE) data for crystalline AgSb2O6 at its relaxed geometry, as listed in Alexandria.

a b c (Å): 4.727 5.186 10.817
angles (deg): 90.00 85.91 90.00
Fractional coordinates of all 18 atoms:
1 Sb 0.053 0.453 0.753
2 Ag 0.500 0.500 0.500
3 O 0.316 0.378 0.263
4 Sb 0.447 0.953 0.747
5 O 0.272 0.225 0.872
6 O 0.701 0.773 0.370
7 O 0.816 0.122 0.763
8 O 0.684 0.622 0.737
9 O 0.772 0.275 0.372
10 O 0.728 0.775 0.128
11 O 0.799 0.273 0.130
12 O 0.228 0.725 0.628
13 O 0.201 0.727 0.870
14 Ag 0.000 0.000 0.000
15 O 0.184 0.878 0.237
16 Sb 0.553 0.047 0.253
17 Sb 0.947 0.547 0.247
18 O 0.299 0.227 0.630

The space group is P2_1/c, No. 14.

Result of the stability comparison: x is the least stable of them.

## w
First-principles (GGA-PBE) data for crystalline ScAg3O at its relaxed geometry, as listed in Alexandria.

a b c (Å): 5.187 5.187 5.187
angles (deg): 90.00 90.00 90.00
Fractional coordinates of all 5 atoms:
1 O 0.500 0.500 0.500
2 Ag 0.500 0.000 0.000
3 Sc 0.000 0.000 0.000
4 Ag 0.000 0.500 0.000
5 Ag 0.000 0.000 0.500

The space group is Pm-3m, No. 221.

## x
First-principles (GGA-PBE) data for crystalline ScAg3O at its relaxed geometry, as listed in Alexandria.

a b c (Å): 4.520 4.520 4.520
angles (deg): 90.00 90.00 90.00
Fractional coordinates of all 5 atoms:
1 Ag 0.000 0.500 0.000
2 Sc 0.500 0.500 0.500
3 Ag 0.000 0.000 0.500
4 O 0.000 0.000 0.000
5 Ag 0.500 0.000 0.000

The space group is Pm-3m, No. 221.

Result of the stability comparison: w is the least stable of them.

## w
First-principles (GGA-PBE) data for crystalline Ag3SeO6 at its relaxed geometry, as listed in Alexandria.

a b c (Å): 5.768 7.313 7.313
angles (deg): 103.79 90.00 90.00
Fractional coordinates of all 20 atoms:
1 Ag 0.494 0.471 0.529
2 O 0.013 0.018 0.982
3 O 0.732 0.215 0.785
4 O 0.740 0.671 0.650
5 Ag 0.984 0.666 0.907
6 O 0.646 0.634 0.062
7 O 0.740 0.350 0.329
8 Ag 0.484 0.334 0.093
9 Ag 0.994 0.529 0.471
10 O 0.240 0.329 0.350
11 O 0.513 0.982 0.018
12 Se 0.004 0.162 0.838
13 Ag 0.484 0.907 0.666
14 O 0.146 0.366 0.938
15 Ag 0.984 0.093 0.334
16 O 0.240 0.650 0.671
17 O 0.232 0.785 0.215
18 O 0.146 0.062 0.634
19 Se 0.504 0.838 0.162
20 O 0.646 0.938 0.366

The space group is Cmc2_1, No. 36.

## x
First-principles (GGA-PBE) data for crystalline Ag3SeO6 at its relaxed geometry, as listed in Alexandria.

a b c (Å): 6.467 6.467 6.467
angles (deg): 91.16 91.16 91.16
Fractional coordinates of all 20 atoms:
1 Se 0.000 0.000 0.000
2 O 0.543 0.781 0.470
3 Ag 0.423 0.903 0.753
4 Ag 0.903 0.753 0.423
5 O 0.965 0.043 0.280
6 O 0.035 0.957 0.720
7 O 0.219 0.530 0.457
8 Ag 0.247 0.577 0.097
9 O 0.781 0.470 0.543
10 Se 0.500 0.500 0.500
11 O 0.957 0.720 0.035
12 O 0.043 0.280 0.965
13 Ag 0.097 0.247 0.577
14 O 0.457 0.219 0.530
15 O 0.530 0.457 0.219
16 O 0.280 0.965 0.043
17 O 0.470 0.543 0.781
18 Ag 0.577 0.097 0.247
19 Ag 0.753 0.423 0.903
20 O 0.720 0.035 0.957

The space group is R-3, No. 148.

Result of the stability comparison: x is the least stable of them.